1.
GeIO2 at its PBEsol-relaxed geometry, computed with meta-GGA SCAN.

a = 5.717 Å, b = 5.717 Å, c = 5.717 Å
α = 60.00°, β = 60.00°, γ = 60.00°
Last column: magnetic moment on the atom in μB.
Element x y z (fractional)
O 0.125 0.125 0.125  0.04
O 0.125 0.125 0.625  0.04
O 0.125 0.625 0.125  0.04
O 0.625 0.125 0.125  0.04
I 0.750 0.750 0.750  0.60
I 0.500 0.500 0.500  0.60
Ge 0.000 0.000 0.000  -0.01
Ge 0.250 0.250 0.250  -0.01

Output
D(E_F) in states/eV/f.u.: 0.40
Volume in Å³ per cell: 132.1
ΔE to the lowest computed polymorph in meV per atom: 0.0
Formation energy without anion corrections in eV/atom: -0.907
Magnetic moment in μB/f.u.: 1.000



2.
TaBeSi at its PBEsol-relaxed geometry, computed with meta-GGA SCAN.

a = 2.805 Å, b = 2.805 Å, c = 6.179 Å
α = 90.00°, β = 90.00°, γ = 120.00°
Element x y z (fractional)
Be 0.000 0.000 0.985
Ta 0.667 0.333 0.330
Si 0.333 0.667 0.686

Output
D(E_F) in states/eV/f.u.: 1.53
Volume in Å³ per cell: 42.1
Formation energy without anion corrections in eV/atom: 0.260
Magnetic moment in μB/f.u.: 0.001



3.
ZnAgRu2 at its PBEsol-relaxed geometry, computed with meta-GGA SCAN.

a = 2.721 Å, b = 4.579 Å, c = 4.812 Å
α = 101.57°, β = 106.43°, γ = 90.00°
Element x y z (fractional)
Zn 0.500 0.000 0.000
Ru 0.241 0.233 0.482
Ru 0.759 0.767 0.518
Ag 0.000 0.500 0.000

Output
D(E_F) in states/eV/f.u.: 3.98
Volume in Å³ per cell: 56.2
ΔH_f (0 K) in eV/f.u.: 1.34
Magnetic moment in μB/f.u.: 0.001



The electronic total energy results, record by record, are as follows: -143.8 -80.2 -113.2 eV per cell.